[1]
Here is a relaxed structure of TaTl3Cl from the Alexandria database. Energies are from PBE-GGA. Values from VASP.

Raw formation energy: 0.52 eV per atom
Offset from the most stable computed form: 0 meV per atom
Space-group type: No. 221

The structure in Quantum ESPRESSO input format:
```
&SYSTEM
  ibrav = 0, nat = 5, ntyp = 3
/
ATOMIC_SPECIES
Tl 204.38 Tl.upf
Cl 35.45 Cl.upf
Ta 180.95 Ta.upf
ATOMIC_POSITIONS crystal
Tl 0.0000 0.5000 0.0000
Tl 0.0000 0.0000 0.5000
Tl 0.5000 0.0000 0.0000
Cl 0.5000 0.5000 0.5000
Ta 0.0000 0.0000 0.0000
CELL_PARAMETERS angstrom
-2.7622 -4.8579 -0.4094
4.8360 -2.6709 -0.9353
0.6157 -0.8144 5.5094
```

***

[2]
Here is a relaxed structure of LaFeMo2 from the Alexandria database. Energies are from PBE-GGA. Values from VASP.

Offset from the most stable computed form: 365 meV per atom
Space-group type: No. 166
E_form: 0.8146 eV/atom

The structure in Quantum ESPRESSO input format:
```
&SYSTEM
  ibrav = 0, nat = 4, ntyp = 3
/
ATOMIC_SPECIES
La 138.91 La.upf
Fe 55.84 Fe.upf
Mo 95.94 Mo.upf
ATOMIC_POSITIONS crystal
La 0.7500 0.7500 0.7500
Fe 0.2500 0.2500 0.2500
Mo 0.6522 0.6522 0.6522
Mo 0.8478 0.8478 0.8478
CELL_PARAMETERS angstrom
-0.5564 -1.1242 9.8199
2.3342 -1.1074 9.5567
0.8810 1.3969 9.7610
```

***

[3]
Here is a relaxed structure of NaFe3P from the Alexandria database. Energies are from PBE-GGA. Values from VASP.

Offset from the most stable computed form: 0 meV per atom
Space-group type: No. 221
E_form: 0.3703 eV/atom

The structure in Quantum ESPRESSO input format:
```
&SYSTEM
  ibrav = 0, nat = 5, ntyp = 3
/
ATOMIC_SPECIES
Fe 55.84 Fe.upf
P 30.97 P.upf
Na 22.99 Na.upf
ATOMIC_POSITIONS crystal
Fe 0.0000 0.0000 0.5000
Fe 0.0000 0.5000 0.0000
Fe 0.5000 0.0000 0.0000
P 0.0000 0.0000 0.0000
Na 0.5000 0.5000 0.5000
CELL_PARAMETERS angstrom
-1.5211 -3.9589 0.7804
1.4429 0.2452 4.0563
-3.7683 1.6919 1.2382
```

***

[4]
Here is a relaxed structure of MnGePN from the Alexandria database. Energies are from PBE-GGA. Values from VASP.

Raw formation energy: 0.07 eV per atom
Offset from the most stable computed form: 75 meV per atom
Space-group type: No. 8

The structure in Quantum ESPRESSO input format:
```
&SYSTEM
  ibrav = 0, nat = 8, ntyp = 4
/
ATOMIC_SPECIES
P 30.97 P.upf
N 14.01 N.upf
Ge 72.64 Ge.upf
Mn 54.94 Mn.upf
ATOMIC_POSITIONS crystal
P 0.8819 0.5000 0.0344
P 0.8819 0.0000 0.5344
N 0.7137 0.0000 0.6665
N 0.7137 0.5000 0.1665
Ge 0.2029 0.5000 0.3379
Ge 0.2029 0.0000 0.8379
Mn 0.3824 0.0000 0.1512
Mn 0.3824 0.5000 0.6512
CELL_PARAMETERS angstrom
-3.0804 -1.1693 -2.9443
-1.7630 -0.3545 1.9854
0.4723 9.5618 2.1269
```

***

[5]
Here is a relaxed structure of KHoO2 from the Alexandria database. Energies are from PBE-GGA. Values from VASP.

Raw formation energy: -2.78 eV per atom
Space-group type: No. 166

The structure in Quantum ESPRESSO input format:
```
&SYSTEM
  ibrav = 0, nat = 4, ntyp = 3
/
ATOMIC_SPECIES
O 16.00 O.upf
Ho 164.93 Ho.upf
K 39.10 K.upf
ATOMIC_POSITIONS crystal
O 0.7718 0.7718 0.7718
O 0.2282 0.2282 0.2282
Ho 0.5000 0.5000 0.5000
K 0.0000 0.0000 0.0000
CELL_PARAMETERS angstrom
6.5666 -0.0008 -0.0005
5.6538 3.3398 -0.0005
5.6538 1.5448 2.9610
```

***

[6]
Here is a relaxed structure of HoErOs from the Alexandria database. Energies are from PBE-GGA. Values from VASP.

Offset from the most stable computed form: 40 meV per atom
Space-group type: No. 216
E_form: -0.2421 eV/atom

The structure in Quantum ESPRESSO input format:
```
&SYSTEM
  ibrav = 0, nat = 3, ntyp = 3
/
ATOMIC_SPECIES
Er 167.26 Er.upf
Os 190.23 Os.upf
Ho 164.93 Ho.upf
ATOMIC_POSITIONS crystal
Er 0.0000 0.0000 0.0000
Os 0.2500 0.2500 0.2500
Ho 0.5000 0.5000 0.5000
CELL_PARAMETERS angstrom
4.7486 0.0000 0.0000
2.3743 4.1124 0.0000
2.3743 1.3708 3.8772
```

***

[7]
Here is a relaxed structure of ScInFe2 from the Alexandria database. Energies are from PBE-GGA. Values from VASP.

Space-group type: No. 123
E_form: 0.0813 eV/atom

The structure in Quantum ESPRESSO input format:
```
&SYSTEM
  ibrav = 0, nat = 4, ntyp = 3
/
ATOMIC_SPECIES
Sc 44.96 Sc.upf
In 114.82 In.upf
Fe 55.84 Fe.upf
ATOMIC_POSITIONS crystal
Sc 0.5000 0.5000 0.7500
In 0.5000 0.5000 0.2500
Fe 0.0000 0.0000 0.9982
Fe 0.0000 0.0000 0.5018
CELL_PARAMETERS angstrom
3.2889 0.0000 0.0000
0.0000 3.2889 0.0000
0.0000 0.0000 6.0447
```

***

[8]
Here is a relaxed structure of NdEuLuTl from the Alexandria database. Energies are from PBE-GGA. Values from VASP.

Space-group type: No. 216
E_form: -0.0566 eV/atom

The structure in Quantum ESPRESSO input format:
```
&SYSTEM
  ibrav = 0, nat = 4, ntyp = 4
/
ATOMIC_SPECIES
Eu 151.96 Eu.upf
Lu 174.97 Lu.upf
Tl 204.38 Tl.upf
Nd 144.24 Nd.upf
ATOMIC_POSITIONS crystal
Eu 0.2500 0.2500 0.2500
Lu 0.5000 0.5000 0.5000
Tl 0.0000 0.0000 0.0000
Nd 0.7500 0.7500 0.7500
CELL_PARAMETERS angstrom
-3.7895 1.8515 -3.6870
-0.1625 -2.1522 -5.1695
-4.2636 -3.2964 -1.5290
```

***

[9]
Here is a relaxed structure of BaUNiSe4 from the Alexandria database. Energies are from PBE-GGA. Values from VASP.

Raw formation energy: -1.15 eV per atom
Space-group type: No. 11

The structure in Quantum ESPRESSO input format:
```
&SYSTEM
  ibrav = 0, nat = 14, ntyp = 4
/
ATOMIC_SPECIES
Ba 137.33 Ba.upf
Se 78.96 Se.upf
Ni 58.69 Ni.upf
U 238.03 U.upf
ATOMIC_POSITIONS crystal
Ba 0.2520 0.2500 0.0599
Ba 0.7480 0.7500 0.9401
Se 0.4278 0.7500 0.5932
Se 0.4361 0.7500 0.1522
Se 0.9814 0.0099 0.2844
Se 0.5722 0.2500 0.4068
Se 0.0186 0.9901 0.7156
Se 0.0186 0.5099 0.7156
Se 0.5639 0.2500 0.8478
Se 0.9814 0.4901 0.2844
Ni 0.7558 0.2500 0.6661
Ni 0.2442 0.7500 0.3339
U 0.2619 0.2500 0.5561
U 0.7381 0.7500 0.4439
CELL_PARAMETERS angstrom
-2.4996 5.1722 -3.7007
-5.4659 -2.5439 0.1364
-0.8442 2.2766 8.6281
```

***

[10]
Here is a relaxed structure of K4H2F from the Alexandria database. Energies are from PBE-GGA. Values from VASP.

DFT total energy: -17.9 eV per cell
Space-group type: No. 139

The structure in Quantum ESPRESSO input format:
```
&SYSTEM
  ibrav = 0, nat = 7, ntyp = 3
/
ATOMIC_SPECIES
F 19.00 F.upf
K 39.10 K.upf
H 1.01 H.upf
ATOMIC_POSITIONS crystal
F 0.0000 0.0000 0.0000
K 0.1987 0.1987 0.3974
K 0.0000 0.5000 0.0000
K 0.8013 0.8013 0.6026
K 0.5000 0.0000 0.0000
H 0.3898 0.3898 0.7796
H 0.6102 0.6102 0.2204
CELL_PARAMETERS angstrom
-4.9885 1.5661 -0.3214
-1.5908 -4.7574 1.5093
3.5084 3.7023 6.2769
```

***

[11]
Here is a relaxed structure of LaAl2Cd from the Alexandria database. Energies are from PBE-GGA. Values from VASP.

Space-group type: No. 166
E_form: -0.2616 eV/atom

The structure in Quantum ESPRESSO input format:
```
&SYSTEM
  ibrav = 0, nat = 4, ntyp = 3
/
ATOMIC_SPECIES
Cd 112.41 Cd.upf
La 138.91 La.upf
Al 26.98 Al.upf
ATOMIC_POSITIONS crystal
Cd 0.7500 0.7500 0.7500
La 0.2500 0.2500 0.2500
Al 0.0340 0.0340 0.8980
Al 0.4660 0.4660 0.6020
CELL_PARAMETERS angstrom
4.5449 -0.0046 0.0035
2.2751 3.9345 0.0035
2.2681 1.3069 5.4705
```

***

[12]
Here is a relaxed structure of KRbCuBr3 from the Alexandria database. Energies are from PBE-GGA. Values from VASP.

Raw formation energy: -1.18 eV per atom
Space-group type: No. 12

The structure in Quantum ESPRESSO input format:
```
&SYSTEM
  ibrav = 0, nat = 12, ntyp = 4
/
ATOMIC_SPECIES
Br 79.90 Br.upf
Rb 85.47 Rb.upf
K 39.10 K.upf
Cu 63.55 Cu.upf
ATOMIC_POSITIONS crystal
Br 0.8499 0.6997 0.6684
Br 0.8542 0.7084 0.1848
Br 0.1458 0.2916 0.8152
Br 0.5009 0.0018 0.2615
Br 0.4991 0.9982 0.7385
Br 0.1501 0.3003 0.3316
Rb 0.3562 0.7124 0.9284
Rb 0.6438 0.2876 0.0716
K 0.6442 0.2884 0.5715
K 0.3558 0.7116 0.4285
Cu 0.9978 0.9956 0.7396
Cu 0.0022 0.0044 0.2604
CELL_PARAMETERS angstrom
-4.0332 2.9522 -2.3795
-3.8354 -6.6241 4.7219
1.3603 6.8080 6.1409
```

***

[13]
Here is a relaxed structure of CaLaTeBr from the Alexandria database. Energies are from PBE-GGA. Values from VASP.

Raw formation energy: -1.37 eV per atom
Offset from the most stable computed form: 47 meV per atom
Space-group type: No. 156

The structure in Quantum ESPRESSO input format:
```
&SYSTEM
  ibrav = 0, nat = 4, ntyp = 4
/
ATOMIC_SPECIES
Te 127.60 Te.upf
Ca 40.08 Ca.upf
Br 79.90 Br.upf
La 138.91 La.upf
ATOMIC_POSITIONS crystal
Te 0.6667 0.3333 0.2141
Ca 0.0000 0.0000 0.4179
Br 0.0000 0.0000 0.7536
La 0.3333 0.6667 0.9841
CELL_PARAMETERS angstrom
-0.9512 -3.6276 2.1143
1.6370 -0.1926 -3.9771
8.0653 -0.1749 3.3283
```

***

[14]
Here is a relaxed structure of InBi2Br2 from the Alexandria database. Energies are from PBE-GGA. Values from VASP.

Raw formation energy: -0.23 eV per atom
Space-group type: No. 127

The structure in Quantum ESPRESSO input format:
```
&SYSTEM
  ibrav = 0, nat = 10, ntyp = 3
/
ATOMIC_SPECIES
In 114.82 In.upf
Bi 208.98 Bi.upf
Br 79.90 Br.upf
ATOMIC_POSITIONS crystal
In 0.5000 0.5000 0.0000
In 0.0000 0.0000 0.0000
Bi 0.3628 0.8628 0.0000
Bi 0.1372 0.3628 0.0000
Bi 0.6372 0.1372 0.0000
Bi 0.8628 0.6372 0.0000
Br 0.6824 0.1824 0.5000
Br 0.8176 0.6824 0.5000
Br 0.3176 0.8176 0.5000
Br 0.1824 0.3176 0.5000
CELL_PARAMETERS angstrom
-3.1115 -7.3196 -1.5937
3.3959 0.1599 -7.3648
4.7456 -2.4820 2.1343
```

***

[15]
Here is a relaxed structure of KLiPtO3 from the Alexandria database. Energies are from PBE-GGA. Values from VASP.

Raw formation energy: -0.96 eV per atom
Space-group type: No. 63

The structure in Quantum ESPRESSO input format:
```
&SYSTEM
  ibrav = 0, nat = 12, ntyp = 4
/
ATOMIC_SPECIES
Pt 195.08 Pt.upf
O 16.00 O.upf
Li 6.94 Li.upf
K 39.10 K.upf
ATOMIC_POSITIONS crystal
Pt 0.7500 0.9736 0.9472
Pt 0.2500 0.0264 0.0528
O 0.0000 0.2448 0.0000
O 0.0000 0.7552 0.0000
O 0.5000 0.7552 0.0000
O 0.2500 0.2217 0.4435
O 0.5000 0.2448 0.0000
O 0.7500 0.7783 0.5565
Li 0.7500 0.5909 0.1818
Li 0.2500 0.4091 0.8182
K 0.2500 0.7104 0.4208
K 0.7500 0.2896 0.5792
CELL_PARAMETERS angstrom
-1.1722 1.7563 -5.5353
-5.4456 -0.3707 1.0356
2.6865 5.0807 1.0432
```

***

[16]
Here is a relaxed structure of LiCaPrDy from the Alexandria database. Energies are from PBE-GGA. Values from VASP.

Space-group type: No. 216
E_form: 0.2057 eV/atom

The structure in Quantum ESPRESSO input format:
```
&SYSTEM
  ibrav = 0, nat = 4, ntyp = 4
/
ATOMIC_SPECIES
Dy 162.50 Dy.upf
Ca 40.08 Ca.upf
Pr 140.91 Pr.upf
Li 6.94 Li.upf
ATOMIC_POSITIONS crystal
Dy 0.5000 0.5000 0.5000
Ca 0.2500 0.2500 0.2500
Pr 0.7500 0.7500 0.7500
Li 0.0000 0.0000 0.0000
CELL_PARAMETERS angstrom
5.6905 0.0000 0.0000
2.8452 4.9281 0.0000
2.8452 1.6427 4.6462
```

***

[17]
Here is a relaxed structure of NaNiS2 from the Alexandria database. Energies are from PBE-GGA. Values from VASP.

Raw formation energy: -0.53 eV per atom
Space-group type: No. 160

The structure in Quantum ESPRESSO input format:
```
&SYSTEM
  ibrav = 0, nat = 4, ntyp = 3
/
ATOMIC_SPECIES
Na 22.99 Na.upf
S 32.06 S.upf
Ni 58.69 Ni.upf
ATOMIC_POSITIONS crystal
Na 0.5001 0.5001 0.4998
S 0.0608 0.0608 0.8176
S 0.2724 0.2724 0.1829
Ni 0.6668 0.6668 0.9997
CELL_PARAMETERS angstrom
3.4735 0.0000 0.0000
1.7368 3.0082 0.0000
1.7368 1.0027 6.5280
```

***

[18]
Here is a relaxed structure of Ag2RuBr from the Alexandria database. Energies are from PBE-GGA. Values from VASP.

Raw formation energy: 0.82 eV per atom
Offset from the most stable computed form: 344 meV per atom
Space-group type: No. 122

The structure in Quantum ESPRESSO input format:
```
&SYSTEM
  ibrav = 0, nat = 8, ntyp = 3
/
ATOMIC_SPECIES
Ag 107.87 Ag.upf
Br 79.90 Br.upf
Ru 101.07 Ru.upf
ATOMIC_POSITIONS crystal
Ag 0.8750 0.8870 0.7500
Ag 0.1130 0.6250 0.2500
Ag 0.3750 0.3630 0.7500
Ag 0.6370 0.1250 0.2500
Br 0.5000 0.5000 0.0000
Br 0.2500 0.7500 0.5000
Ru 0.7500 0.2500 0.5000
Ru 0.0000 0.0000 0.0000
CELL_PARAMETERS angstrom
-2.8881 6.6113 2.9691
-6.8900 -1.5134 -3.3321
-5.6561 1.2332 2.0020
```